Entry 1:
DFT (GGA-PBE) results for a relaxed Tb2Si7Ir12 crystal.

* ΔE_f (raw): -0.84 eV/atom
* crystal system: trigonal
* space-group type: No. 147
* final energy: -8.152 eV per atom

Lattice parameters (Å, degrees): 9.752 9.752 3.897 90.00 90.00 120.00
Fractional positions:
Tb 0.333 0.667 0.249
Tb 0.667 0.333 0.751
Si 0.000 0.000 0.000
Si 0.115 0.405 0.748
Si 0.290 0.885 0.748
Si 0.405 0.290 0.252
Si 0.595 0.710 0.748
Si 0.710 0.115 0.252
Si 0.885 0.595 0.252
Ir 0.062 0.619 0.749
Ir 0.117 0.855 0.246
Ir 0.145 0.262 0.246
Ir 0.262 0.117 0.754
Ir 0.381 0.444 0.749
Ir 0.444 0.062 0.251
Ir 0.556 0.938 0.749
Ir 0.619 0.556 0.251
Ir 0.738 0.883 0.246
Ir 0.855 0.738 0.754
Ir 0.883 0.145 0.754
Ir 0.938 0.381 0.251

Entry 2:
DFT (GGA-PBE) results for a relaxed BeHS2 crystal.

* crystal system: trigonal
* space-group type: No. 166
* final energy: -3.945 eV per atom
* energy relative to the lowest polymorph listed for this composition: 0 meV/atom

Lattice parameters (Å, degrees): 6.067 6.067 6.067 30.97 30.97 30.97
Fractional positions:
Be 0.000 0.000 0.000
H 0.500 0.500 0.500
S 0.405 0.405 0.405
S 0.595 0.595 0.595

Entry 3:
DFT (GGA-PBE) results for a relaxed CdInW2 crystal.

* crystal system: orthorhombic
* space-group type: No. 65
* final energy: -6.654 eV per atom
* energy of formation from the pure elements: 71.0 kJ/mol of atoms
* energy relative to the lowest polymorph listed for this composition: 311 meV/atom

Lattice parameters (Å, degrees): 5.404 5.404 2.812 90.00 90.00 117.36
Fractional positions:
Cd 0.000 0.000 0.000
In 0.500 0.500 0.000
W 0.000 0.500 0.500
W 0.500 0.000 0.500